No. 1
Entry from Alexandria: YFeSe2 after structural relaxation (PBE-GGA).

Cell and atoms, written as POSCAR:
```
YFeSe2
1.0
-3.764 -4.207 -2.929
1.533 -5.578 -2.643
0.661 3.635 5.177
Fe Se Y
1 2 1
Cartesian
-2.109 -2.732 -0.269 Fe
0.000 0.000 0.000 Se
0.539 -3.418 -0.126 Se
-1.116 -4.892 -2.786 Y
```

As for the space-group type: I-4m2, No. 119. For the total energy, the calculation gives -0.4443 Ry per atom. The uncorrected formation energy comes out at -570.5 meV/atom.

***

No. 2
Entry from Alexandria: HoMg2Zr after structural relaxation (PBE-GGA).

Cell and atoms, written as POSCAR:
```
HoMg2Zr
1.0
-1.476 -0.037 2.869
-3.221 -0.086 0.156
-1.273 -11.064 1.016
Mg Ho Zr
2 1 1
Cartesian
-4.480 -8.282 3.030 Mg
-1.490 -2.905 1.010 Mg
0.000 0.000 0.000 Ho
-2.985 -5.594 2.020 Zr
```

As for the space-group type: R-3m, No. 166. The excess energy over the best structure of this formula in the dataset is 86.6 meV/atom. The formation energy from the elements is 96 meV per atom. For the total energy, the calculation gives -0.2927 Ry per atom.

***

No. 3
Entry from Alexandria: CoCuTe2 after structural relaxation (PBE-GGA).

Cell and atoms, written as POSCAR:
```
CoCuTe2
1.0
-0.156 -3.687 -5.838
-1.307 -6.066 -3.032
-3.790 -3.544 -4.559
Co Cu Te
1 1 2
Cartesian
-2.561 -6.483 -6.547 Co
-4.012 -10.156 -10.257 Cu
-0.178 -0.451 -0.455 Te
-1.129 -2.857 -2.885 Te
```

As for the space-group type: R3m, No. 160. The excess energy over the best structure of this formula in the dataset is 30.0 meV/atom. For the total energy, the calculation gives -0.3161 Ry per atom. The uncorrected formation energy comes out at 70.4 meV/atom.

***

No. 4
Entry from Alexandria: Pm2BRh3 after structural relaxation (PBE-GGA).

Cell and atoms, written as POSCAR:
```
Pm2BRh3
1.0
3.374 0.000 0.000
0.000 5.269 0.000
-1.687 -2.635 6.322
Pm B Rh
2 1 3
Cartesian
1.687 0.000 2.275 Pm
0.000 2.635 4.047 Pm
0.000 2.635 0.000 B
0.000 0.000 4.974 Rh
0.000 0.000 0.000 Rh
1.687 2.635 1.348 Rh
```

As for the space-group type: Immm, No. 71. The formation energy from the elements is -217 meV per atom. For the total energy, the calculation gives -0.4843 Ry per atom.

***

total energy of number 3 (CoCuTe2)? -0.3161 Ry per atom

***

Repeat the first record exactly.
Entry from Alexandria: YFeSe2 after structural relaxation (PBE-GGA).

Cell and atoms, written as POSCAR:
```
YFeSe2
1.0
-3.764 -4.207 -2.929
1.533 -5.578 -2.643
0.661 3.635 5.177
Fe Se Y
1 2 1
Cartesian
-2.109 -2.732 -0.269 Fe
0.000 0.000 0.000 Se
0.539 -3.418 -0.126 Se
-1.116 -4.892 -2.786 Y
```

As for the space-group type: I-4m2, No. 119. For the total energy, the calculation gives -0.4443 Ry per atom. The uncorrected formation energy comes out at -570.5 meV/atom.

***

Which formula does entry 2 have? HoMg2Zr